A plane-wave DFT calculation with PBE was carried out for a relaxed CuW7 crystal.

Geometry as POSCAR:
```
CuW7
1.0
0.0000 3.9943 3.9943
3.9943 0.0000 3.9943
3.9943 3.9943 0.0000
Cu W
1 7
Cartesian
0.0000 0.0000 0.0000 Cu
1.9971 1.9971 0.0000 W
1.9971 0.0000 1.9971 W
3.9943 1.9971 1.9971 W
0.0000 1.9971 1.9971 W
1.9971 3.9943 1.9971 W
1.9971 1.9971 3.9943 W
3.9943 3.9943 3.9943 W
```

Properties
The calculation puts the total energy at -91.63 eV/cell. Its space group is Fm-3m. The value obtained for the total magnetization is 0.000 μB/atom.


A plane-wave DFT calculation with PBE was carried out for a relaxed Er4OsAu3 crystal.

Geometry as POSCAR:
```
Er4OsAu3
1.0
3.4805 0.0000 0.0000
0.0000 3.4805 0.0000
0.0000 0.0000 14.4066
Er Os Au
4 1 3
Cartesian
0.0000 0.0000 1.6387 Er
0.0000 0.0000 5.3550 Er
0.0000 0.0000 9.0516 Er
0.0000 0.0000 12.7679 Er
1.7402 1.7402 0.0000 Os
1.7402 1.7402 3.5685 Au
1.7402 1.7402 7.2033 Au
1.7402 1.7402 10.8381 Au
```

Properties
The calculation puts the total energy at -45.11 eV/cell. Its space group is P4/mmm. The value obtained for the total magnetization is 0.000 μB/atom.


A plane-wave DFT calculation with PBE was carried out for a relaxed ErTm2Sc2 crystal.

Geometry as POSCAR:
```
ErTm2Sc2
1.0
8.9540 0.0000 0.0000
0.0000 8.9540 0.0000
0.0000 0.0000 3.5161
Er Tm Sc
2 4 4
Cartesian
0.0000 0.0000 0.0000 Er
4.4770 4.4770 0.0000 Er
1.5657 2.9113 1.7580 Tm
2.9113 7.3883 1.7580 Tm
6.0427 1.5657 1.7580 Tm
7.3883 6.0427 1.7580 Tm
1.0868 5.5639 0.0000 Sc
3.3902 1.0868 0.0000 Sc
5.5639 7.8672 0.0000 Sc
7.8672 3.3902 0.0000 Sc
```

Properties
As for the distance to the lowest polymorph of the same formula: 35 meV/atom. The calculation puts the total energy at -51.59 eV/cell. Its space group is P4/mbm. The value obtained for the total magnetization is 0.000 μB/atom.


Q: Which formula does entry 2 have?
A: Er4OsAu3